[1]
Material: MgMn4Te
Method: DFT, PBE
State: relaxed

Computed properties:
Space-group type: F-43m (216)
Calculated volume (Å³/atom): 14.333
ΔE_f (raw) (eV per atom): 0.355
Mass density (g/cm3): 7.18
Uncorrected energy (eV/atom): -6.55

Cell: 4.954 4.954 4.954 Å, 60.00 60.00 60.00°
Fractional positions:
Mg: 0.000 0.000 0.000
Mn: 0.374 0.374 0.374
Mn: 0.374 0.374 0.878
Mn: 0.374 0.878 0.374
Mn: 0.878 0.374 0.374
Te: 0.750 0.750 0.750

[2]
Material: Mg2MnTe
Method: DFT, PBE
State: relaxed

Computed properties:
Space-group type: Pm (6)
Calculated volume (Å³/atom): 22.812
ΔE_f (raw) (eV per atom): -0.022
Mass density (g/cm3): 4.21
Uncorrected energy (eV/atom): -3.90

Cell: 3.954 3.873 6.276 Å, 90.00 108.28 90.00°
Fractional positions:
Mg: 0.000 0.000 0.000
Mg: 0.345 0.500 0.687
Mn: 0.764 0.000 0.526
Te: 0.604 0.500 0.207

[3]
Material: MgMn2Te
Method: DFT, PBE
State: relaxed

Computed properties:
Energy above the lowest structure with this stoichiometry (kJ per mole of atoms): 26.5
Space-group type: F-43m (216)
Calculated volume (Å³/atom): 19.205
ΔE_f (raw) (eV per atom): 0.443
Mass density (g/cm3): 5.66
Uncorrected energy (eV/atom): -5.33

Cell: 4.772 4.772 4.772 Å, 60.00 60.00 60.00°
Fractional positions:
Mg: 0.000 0.000 0.000
Mn: 0.500 0.500 0.500
Mn: 0.750 0.750 0.750
Te: 0.250 0.250 0.250

[4]
Material: Mg4MnTe2
Method: DFT, PBE
State: relaxed

Computed properties:
Space-group type: I4/mmm (139)
Calculated volume (Å³/atom): 28.437
ΔE_f (raw) (eV per atom): 0.161
Mass density (g/cm3): 3.40
Uncorrected energy (eV/atom): -2.96

Cell: 8.332 8.332 8.332 Å, 143.96 143.96 51.88°
Fractional positions:
Mg: 0.000 0.500 0.500
Mg: 0.179 0.179 0.000
Mg: 0.500 0.000 0.500
Mg: 0.821 0.821 0.000
Mn: 0.000 0.000 0.000
Te: 0.366 0.366 0.000
Te: 0.634 0.634 0.000

[5]
Material: Mg2Mn2Te
Method: DFT, PBE
State: relaxed

Computed properties:
Energy above the lowest structure with this stoichiometry (kJ per mole of atoms): 0.0
Space-group type: P4/mbm (127)
Calculated volume (Å³/atom): 17.642
ΔE_f (raw) (eV per atom): 0.221
Mass density (g/cm3): 5.39
Uncorrected energy (eV/atom): -4.71

Cell: 6.324 6.324 4.411 Å, 90.00 90.00 90.00°
Fractional positions:
Mg: 0.161 0.339 0.000
Mg: 0.339 0.839 0.000
Mg: 0.661 0.161 0.000
Mg: 0.839 0.661 0.000
Mn: 0.119 0.619 0.500
Mn: 0.381 0.119 0.500
Mn: 0.619 0.881 0.500
Mn: 0.881 0.381 0.500
Te: 0.000 0.000 0.500
Te: 0.500 0.500 0.500

[6]
Material: Mg2Mn2Te
Method: DFT, PBE
State: relaxed

Computed properties:
Energy above the lowest structure with this stoichiometry (kJ per mole of atoms): 15.0
Space-group type: I4/mmm (139)
Calculated volume (Å³/atom): 21.059
ΔE_f (raw) (eV per atom): 0.377
Mass density (g/cm3): 4.51
Uncorrected energy (eV/atom): -4.56

Cell: 7.328 7.328 7.328 Å, 148.80 148.80 44.71°
Fractional positions:
Mg: 0.250 0.750 0.500
Mg: 0.750 0.250 0.500
Mn: 0.093 0.093 0.000
Mn: 0.907 0.907 0.000
Te: 0.500 0.500 0.000

[7]
Material: MgMn2Te
Method: DFT, PBE
State: relaxed

Computed properties:
Energy above the lowest structure with this stoichiometry (kJ per mole of atoms): 22.0
Space-group type: R-3m (166)
Calculated volume (Å³/atom): 19.887
ΔE_f (raw) (eV per atom): 0.396
Mass density (g/cm3): 5.46
Uncorrected energy (eV/atom): -5.37

Cell: 8.622 8.622 8.622 Å, 22.10 22.10 22.10°
Fractional positions:
Mg: 0.000 0.000 0.000
Mn: 0.246 0.246 0.246
Mn: 0.754 0.754 0.754
Te: 0.500 0.500 0.500

[8]
Material: Mg3MnTe
Method: DFT, PBE
State: relaxed

Computed properties:
Energy above the lowest structure with this stoichiometry (kJ per mole of atoms): 0.0
Space-group type: Pm-3m (221)
Calculated volume (Å³/atom): 32.009
ΔE_f (raw) (eV per atom): 0.706
Mass density (g/cm3): 2.65
Uncorrected energy (eV/atom): -2.71

Cell: 5.429 5.429 5.429 Å, 90.00 90.00 90.00°
Fractional positions:
Mg: 0.000 0.000 0.500
Mg: 0.000 0.500 0.000
Mg: 0.500 0.000 0.000
Mn: 0.500 0.500 0.500
Te: 0.000 0.000 0.000

[9]
Material: Mg3MnTe
Method: DFT, PBE
State: relaxed

Computed properties:
Energy above the lowest structure with this stoichiometry (kJ per mole of atoms): 2.3
Space-group type: Pm-3m (221)
Calculated volume (Å³/atom): 24.608
ΔE_f (raw) (eV per atom): 0.729
Mass density (g/cm3): 3.45
Uncorrected energy (eV/atom): -2.69

Cell: 4.974 4.974 4.974 Å, 90.00 90.00 90.00°
Fractional positions:
Mg: 0.000 0.000 0.500
Mg: 0.000 0.500 0.000
Mg: 0.500 0.000 0.000
Mn: 0.000 0.000 0.000
Te: 0.500 0.500 0.500

[10]
Material: Mg2MnTe
Method: DFT, PBE
State: relaxed

Computed properties:
Space-group type: I4/mmm (139)
Calculated volume (Å³/atom): 20.757
ΔE_f (raw) (eV per atom): 0.049
Mass density (g/cm3): 4.62
Uncorrected energy (eV/atom): -3.83

Cell: 5.628 5.628 5.628 Å, 136.63 136.63 63.01°
Fractional positions:
Mg: 0.250 0.750 0.500
Mg: 0.750 0.250 0.500
Mn: 0.000 0.000 0.000
Te: 0.500 0.500 0.000

[11]
Material: Mg3MnTe4
Method: DFT, PBE
State: relaxed

Computed properties:
Energy above the lowest structure with this stoichiometry (kJ per mole of atoms): 0.5
Space-group type: P-4m2 (115)
Calculated volume (Å³/atom): 33.828
ΔE_f (raw) (eV per atom): -0.679
Mass density (g/cm3): 3.92
Uncorrected energy (eV/atom): -3.99

Cell: 4.578 4.578 12.914 Å, 90.00 90.00 90.00°
Fractional positions:
Mg: 0.000 0.000 0.000
Mg: 0.500 0.500 0.254
Mg: 0.500 0.500 0.746
Mn: 0.000 0.000 0.500
Te: 0.000 0.500 0.127
Te: 0.000 0.500 0.619
Te: 0.500 0.000 0.381
Te: 0.500 0.000 0.873

[12]
Material: Mg3MnTe4
Method: DFT, PBE
State: relaxed

Computed properties:
Energy above the lowest structure with this stoichiometry (kJ per mole of atoms): 0.0
Space-group type: Pmn2_1 (31)
Calculated volume (Å³/atom): 33.778
ΔE_f (raw) (eV per atom): -0.684
Mass density (g/cm3): 3.92
Uncorrected energy (eV/atom): -4.00

Cell: 9.150 7.923 7.455 Å, 90.00 90.00 90.00°
Fractional positions:
Mg: 0.000 0.164 0.000
Mg: 0.249 0.332 0.499
Mg: 0.251 0.668 0.999
Mg: 0.500 0.836 0.500
Mg: 0.749 0.668 0.999
Mg: 0.751 0.332 0.499
Mn: 0.000 0.832 0.499
Mn: 0.500 0.168 0.999
Te: 0.000 0.158 0.621
Te: 0.000 0.832 0.132
Te: 0.245 0.669 0.620
Te: 0.255 0.331 0.120
Te: 0.500 0.168 0.632
Te: 0.500 0.842 0.121
Te: 0.745 0.331 0.120
Te: 0.755 0.669 0.620

[13]
Material: Mg2MnTe
Method: DFT, PBE
State: relaxed

Computed properties:
Space-group type: P4/mmm (123)
Calculated volume (Å³/atom): 21.027
ΔE_f (raw) (eV per atom): 0.047
Mass density (g/cm3): 4.56
Uncorrected energy (eV/atom): -3.83

Cell: 4.643 4.643 3.902 Å, 90.00 90.00 90.00°
Fractional positions:
Mg: 0.000 0.500 0.000
Mg: 0.500 0.000 0.000
Mn: 0.000 0.000 0.500
Te: 0.500 0.500 0.500

[14]
Material: Mg2MnTe3
Method: DFT, PBE
State: relaxed

Computed properties:
Space-group type: Cc (9)
Calculated volume (Å³/atom): 33.571
ΔE_f (raw) (eV per atom): -0.616
Mass density (g/cm3): 4.01
Uncorrected energy (eV/atom): -4.25

Cell: 7.900 7.900 7.912 Å, 99.61 99.61 120.04°
Fractional positions:
Mg: 0.084 0.916 0.500
Mg: 0.252 0.749 0.001
Mg: 0.749 0.252 0.501
Mg: 0.916 0.084 0.000
Mn: 0.417 0.582 0.500
Mn: 0.582 0.417 0.000
Te: 0.048 0.216 0.378
Te: 0.216 0.048 0.878
Te: 0.377 0.868 0.378
Te: 0.541 0.700 0.869
Te: 0.700 0.541 0.369
Te: 0.868 0.377 0.878

[15]
Material: Mg2MnTe
Method: DFT, PBE
State: relaxed

Computed properties:
Space-group type: Cmmm (65)
Calculated volume (Å³/atom): 21.402
ΔE_f (raw) (eV per atom): 0.047
Mass density (g/cm3): 4.48
Uncorrected energy (eV/atom): -3.83

Cell: 4.736 4.736 3.882 Å, 90.00 90.00 100.51°
Fractional positions:
Mg: 0.000 0.500 0.000
Mg: 0.500 0.000 0.000
Mn: 0.000 0.000 0.500
Te: 0.500 0.500 0.500

[16]
Material: MgMnTe3
Method: DFT, PBE
State: relaxed

Computed properties:
Space-group type: Pm-3m (221)
Calculated volume (Å³/atom): 26.484
ΔE_f (raw) (eV per atom): 0.350
Mass density (g/cm3): 5.79
Uncorrected energy (eV/atom): -3.69

Cell: 5.097 5.097 5.097 Å, 90.00 90.00 90.00°
Fractional positions:
Mg: 0.000 0.000 0.000
Mn: 0.500 0.500 0.500
Te: 0.000 0.500 0.500
Te: 0.500 0.000 0.500
Te: 0.500 0.500 0.000

[17]
Material: MgMn3Te4
Method: DFT, PBE
State: relaxed

Computed properties:
Space-group type: P-4m2 (115)
Calculated volume (Å³/atom): 32.871
ΔE_f (raw) (eV per atom): -0.265
Mass density (g/cm3): 4.42
Uncorrected energy (eV/atom): -5.47

Cell: 4.536 4.536 12.780 Å, 90.00 90.00 90.00°
Fractional positions:
Mg: 0.000 0.000 0.000
Mn: 0.000 0.000 0.500
Mn: 0.500 0.500 0.253
Mn: 0.500 0.500 0.747
Te: 0.000 0.500 0.131
Te: 0.000 0.500 0.624
Te: 0.500 0.000 0.376
Te: 0.500 0.000 0.869

[18]
Material: Mg2MnTe
Method: DFT, PBE
State: relaxed

Computed properties:
Space-group type: P4mm (99)
Calculated volume (Å³/atom): 21.162
ΔE_f (raw) (eV per atom): 0.011
Mass density (g/cm3): 4.53
Uncorrected energy (eV/atom): -3.86

Cell: 3.783 3.783 5.914 Å, 90.00 90.00 90.00°
Fractional positions:
Mg: 0.000 0.000 0.000
Mg: 0.500 0.500 0.265
Mn: 0.000 0.000 0.494
Te: 0.500 0.500 0.740

[19]
Material: MgMn2Te
Method: DFT, PBE
State: relaxed

Computed properties:
Energy above the lowest structure with this stoichiometry (kJ per mole of atoms): 1.5
Space-group type: P4/mmm (123)
Calculated volume (Å³/atom): 19.083
ΔE_f (raw) (eV per atom): 0.183
Mass density (g/cm3): 5.69
Uncorrected energy (eV/atom): -5.59

Cell: 3.634 3.634 5.779 Å, 90.00 90.00 90.00°
Fractional positions:
Mg: 0.000 0.000 0.000
Mn: 0.500 0.500 0.251
Mn: 0.500 0.500 0.749
Te: 0.000 0.000 0.500

[20]
Material: MgMnTe4
Method: DFT, PBE
State: relaxed

Computed properties:
Space-group type: P2_1/c (14)
Calculated volume (Å³/atom): 28.656
ΔE_f (raw) (eV per atom): -0.325
Mass density (g/cm3): 5.69
Uncorrected energy (eV/atom): -4.21

Cell: 7.018 6.997 7.003 Å, 90.00 90.44 90.00°
Fractional positions:
Mg: 0.000 0.000 0.000
Mg: 0.000 0.500 0.500
Mn: 0.500 0.000 0.500
Mn: 0.500 0.500 0.000
Te: 0.124 0.109 0.612
Te: 0.124 0.391 0.112
Te: 0.394 0.623 0.620
Te: 0.394 0.877 0.120
Te: 0.606 0.123 0.880
Te: 0.606 0.377 0.380
Te: 0.876 0.609 0.888
Te: 0.876 0.891 0.388

[21]
Material: Mg2MnTe
Method: DFT, PBE
State: relaxed

Computed properties:
Space-group type: R-3m (166)
Calculated volume (Å³/atom): 22.814
ΔE_f (raw) (eV per atom): 0.201
Mass density (g/cm3): 4.21
Uncorrected energy (eV/atom): -3.67

Cell: 9.316 9.316 9.316 Å, 21.04 21.04 21.04°
Fractional positions:
Mg: 0.246 0.246 0.246
Mg: 0.754 0.754 0.754
Mn: 0.500 0.500 0.500
Te: 0.000 0.000 0.000

[22]
Material: MgMn2Te
Method: DFT, PBE
State: relaxed

Computed properties:
Energy above the lowest structure with this stoichiometry (kJ per mole of atoms): 19.0
Space-group type: C2/m (12)
Calculated volume (Å³/atom): 18.869
ΔE_f (raw) (eV per atom): 0.365
Mass density (g/cm3): 5.76
Uncorrected energy (eV/atom): -5.40

Cell: 5.583 5.583 3.084 Å, 105.34 105.34 115.36°
Fractional positions:
Mg: 0.000 0.000 0.000
Mn: 0.000 0.500 0.500
Mn: 0.500 0.000 0.500
Te: 0.500 0.500 0.000

[23]
Material: Mg2MnTe
Method: DFT, PBE
State: relaxed

Computed properties:
Space-group type: Cm (8)
Calculated volume (Å³/atom): 21.377
ΔE_f (raw) (eV per atom): 0.032
Mass density (g/cm3): 4.49
Uncorrected energy (eV/atom): -3.84

Cell: 5.741 5.741 3.983 Å, 110.09 110.09 44.55°
Fractional positions:
Mg: 0.000 0.000 0.000
Mg: 0.732 0.732 0.232
Mn: 0.487 0.487 0.486
Te: 0.264 0.264 0.763

[24]
Material: MgMn2Te
Method: DFT, PBE
State: relaxed

Computed properties:
Energy above the lowest structure with this stoichiometry (kJ per mole of atoms): 2.7
Space-group type: I4/mmm (139)
Calculated volume (Å³/atom): 18.285
ΔE_f (raw) (eV per atom): 0.196
Mass density (g/cm3): 5.94
Uncorrected energy (eV/atom): -5.57

Cell: 5.233 5.233 5.233 Å, 133.91 133.91 67.23°
Fractional positions:
Mg: 0.000 0.000 0.000
Mn: 0.250 0.750 0.500
Mn: 0.750 0.250 0.500
Te: 0.500 0.500 0.000

[25]
Material: Mg2MnTe
Method: DFT, PBE
State: relaxed

Computed properties:
Space-group type: F-43m (216)
Calculated volume (Å³/atom): 21.472
ΔE_f (raw) (eV per atom): 0.224
Mass density (g/cm3): 4.47
Uncorrected energy (eV/atom): -3.65

Cell: 4.952 4.952 4.952 Å, 60.00 60.00 60.00°
Fractional positions:
Mg: 0.000 0.000 0.000
Mg: 0.250 0.250 0.250
Mn: 0.750 0.750 0.750
Te: 0.500 0.500 0.500

[26]
Material: MgMn2Te
Method: DFT, PBE
State: relaxed

Computed properties:
Energy above the lowest structure with this stoichiometry (kJ per mole of atoms): 13.8
Space-group type: P2/m (10)
Calculated volume (Å³/atom): 20.408
ΔE_f (raw) (eV per atom): 0.311
Mass density (g/cm3): 5.33
Uncorrected energy (eV/atom): -5.46

Cell: 3.059 4.593 5.949 Å, 90.00 102.41 90.00°
Fractional positions:
Mg: 0.000 0.000 0.000
Mn: 0.398 0.500 0.200
Mn: 0.602 0.500 0.800
Te: 0.500 0.000 0.500

[27]
Material: MgMn2Te
Method: DFT, PBE
State: relaxed

Computed properties:
Energy above the lowest structure with this stoichiometry (kJ per mole of atoms): 2.1
Space-group type: I-4m2 (119)
Calculated volume (Å³/atom): 17.901
ΔE_f (raw) (eV per atom): 0.190
Mass density (g/cm3): 6.07
Uncorrected energy (eV/atom): -5.58

Cell: 5.294 5.294 5.294 Å, 135.60 135.60 64.60°
Fractional positions:
Mg: 0.000 0.000 0.000
Mn: 0.500 0.500 0.000
Mn: 0.750 0.250 0.500
Te: 0.250 0.750 0.500